First-principles (PBE-GGA) data for crystalline CoCuTe4 at its relaxed geometry, as listed in Alexandria.

Lattice parameters (Å, degrees): 7.2714 7.2714 7.2714 107.75 107.75 112.97
Closest atoms and distances in Å follow each position.
Element x y z (fractional)
1 Co 0.0000 0.0000 0.0000  6 Te 2.52-2.61
2 Co 0.7500 0.2500 0.5000  6 Te 2.52-2.61
3 Cu 0.2466 0.7466 0.5000  6 Te 2.64-2.69
4 Cu 0.4966 0.4966 0.0000  6 Te 2.64-2.69
5 Te 0.1804 0.4877 0.6927  1 Co 2.52, 2 Cu 2.64-2.66
6 Te 0.2377 0.0451 0.8073  1 Co 2.52, 2 Cu 2.64-2.66
7 Te 0.2377 0.4304 0.1927  1 Co 2.52, 2 Cu 2.64-2.66
8 Te 0.3111 0.0073 0.3038  2 Co 2.57-2.61, 1 Cu 2.69
9 Te 0.7035 0.0073 0.6962  2 Co 2.57-2.61, 1 Cu 2.69
10 Te 0.7573 0.5611 0.8038  2 Co 2.57-2.61, 1 Cu 2.69
11 Te 0.7573 0.9535 0.1962  2 Co 2.57-2.61, 1 Cu 2.69
12 Te 0.7951 0.4877 0.3073  1 Co 2.52, 2 Cu 2.64-2.66

Summary:
Size of the total moment, Bohr magnetons per cell: 0.007
Polymorph energy (0 for the lowest one), meV/atom: 172
DOS at the Fermi energy, states/eV per atom: 1.07
E_tot, eV per atom: -3.89